LaTb2Nd4Sc after structural relaxation. Source: Alexandria via LeMat-Bulk, functional GGA-PBE.

Lattice parameters (Å, degrees): 5.107 11.408 5.085 63.54 90.00 90.00
Fractional positions:
Nd1 0.000 0.749 0.751
Nd2 0.500 0.251 0.750
Nd3 0.000 0.251 0.249
Tb1 0.500 0.000 0.500
Sc1 0.000 0.500 0.500
Nd4 0.500 0.749 0.250
La1 0.500 0.500 0.000
Tb2 0.000 0.000 0.000

Calculated values
symmetry = Pmmm, No. 47
crystal system = orthorhombic
formation energy = 0.2 eV/f.u.
VASP energy = -4.92 eV/atom

Mn2BeAs after structural relaxation. Source: Alexandria via LeMat-Bulk, functional GGA-PBE.

Lattice parameters (Å, degrees): 3.462 3.236 4.637 69.64 90.00 90.00
Site moments in Bohr magnetons follow the coordinates.
Fractional positions:
Mn1 0.000 0.980 0.916  2.55
Be1 0.500 0.538 0.799  -0.10
Mn2 0.500 0.279 0.315  2.47
As1 0.000 0.702 0.470  -0.08

Calculated values
symmetry = Amm2, No. 38
ΔE to the lowest computed polymorph = 0 meV per atom
crystal system = orthorhombic
formation energy = -0.2 eV/f.u.
VASP energy = -6.72 eV/atom

VSnN2 after structural relaxation. Source: Alexandria via LeMat-Bulk, functional GGA-PBE.

Lattice parameters (Å, degrees): 6.775 6.775 6.775 25.51 25.51 25.51
Fractional positions:
N1 0.113 0.113 0.113
Sn1 0.000 0.000 0.000
N2 0.887 0.887 0.887
V1 0.500 0.500 0.500

Calculated values
symmetry = R-3m, No. 166
crystal system = trigonal
formation energy from raw total energies = -232 meV/atom
VASP energy = -7.68 eV/atom

SiMo2P after structural relaxation. Source: Alexandria via LeMat-Bulk, functional GGA-PBE.

Lattice parameters (Å, degrees): 3.170 3.170 5.583 90.00 90.00 90.00
Fractional positions:
Mo1 0.500 0.500 0.291
Mo2 0.000 0.000 0.961
P1 0.000 0.000 0.493
Si1 0.500 0.500 0.755

Calculated values
symmetry = P4mm, No. 99
ΔE to the lowest computed polymorph = 34 meV per atom
crystal system = tetragonal
formation energy from raw total energies = -436 meV/atom
VASP energy = -8.56 eV/atom

Ba2CaI6 after structural relaxation. Source: Alexandria via LeMat-Bulk, functional GGA-PBE.

Lattice parameters (Å, degrees): 7.647 8.514 28.363 90.00 90.00 90.00
Fractional positions:
I1 0.256 0.090 0.960
Ba1 0.000 0.750 0.283
Ba2 0.000 0.750 0.949
Ba3 0.500 0.750 0.449
I2 0.734 0.947 0.870
I3 0.238 0.087 0.304
I4 0.744 0.910 0.040
I5 0.756 0.410 0.460
Ba4 0.000 0.250 0.717
I6 0.234 0.053 0.630
Ca1 0.500 0.250 0.882
I7 0.762 0.913 0.696
I8 0.738 0.413 0.804
I9 0.766 0.947 0.370
I10 0.262 0.587 0.196
I11 0.238 0.587 0.696
I12 0.734 0.447 0.130
I13 0.244 0.090 0.460
Ba5 0.500 0.250 0.217
I14 0.262 0.087 0.804
Ba6 0.500 0.750 0.783
I15 0.756 0.910 0.540
I16 0.244 0.590 0.540
Ba7 0.500 0.250 0.551
I17 0.766 0.447 0.630
I18 0.234 0.553 0.370
Ca2 0.500 0.750 0.118
I19 0.744 0.410 0.960
I20 0.266 0.553 0.870
Ca3 0.000 0.250 0.382
Ca4 0.000 0.750 0.618
I21 0.738 0.913 0.196
I22 0.256 0.590 0.040
I23 0.266 0.053 0.130
I24 0.762 0.413 0.304
Ba8 0.000 0.250 0.051

Calculated values
symmetry = Pbcn, No. 60
crystal system = orthorhombic
formation energy from raw total energies = -1690 meV/atom
VASP energy = -3.37 eV/atom

Zr4PtPb after structural relaxation. Source: Alexandria via LeMat-Bulk, functional GGA-PBE.

Lattice parameters (Å, degrees): 5.703 5.703 5.703 60.00 60.00 60.00
Fractional positions:
Zr1 0.375 0.875 0.375
Pt1 0.000 0.000 0.000
Zr2 0.375 0.375 0.375
Zr3 0.875 0.375 0.375
Pb1 0.750 0.750 0.750
Zr4 0.375 0.375 0.875

Calculated values
symmetry = F-43m, No. 216
crystal system = cubic
formation energy = 0.7 eV/f.u.
VASP energy = -7.21 eV/atom

Ac3In2Ag7 after structural relaxation. Source: Alexandria via LeMat-Bulk, functional GGA-PBE.

Lattice parameters (Å, degrees): 4.555 5.109 13.923 96.75 90.00 90.00
Fractional positions:
Ac1 0.000 0.839 0.647
Ag1 0.000 0.710 0.162
Ac2 0.000 0.161 0.353
Ag2 0.000 0.290 0.838
In1 0.500 0.415 0.737
Ag3 0.000 0.000 0.000
Ag4 0.500 0.262 0.540
Ag5 0.500 0.936 0.841
Ag6 0.500 0.738 0.460
In2 0.500 0.585 0.263
Ac3 0.500 0.500 0.000
Ag7 0.500 0.064 0.159

Calculated values
symmetry = P2/m, No. 10
crystal system = monoclinic
formation energy = -2.6 eV/f.u.
VASP energy = -3.37 eV/atom

BaLi2Hg6 after structural relaxation. Source: Alexandria via LeMat-Bulk, functional GGA-PBE.

Lattice parameters (Å, degrees): 9.084 9.084 9.084 60.00 60.00 60.00
Fractional positions:
Hg1 0.479 0.021 0.479
Hg2 0.229 0.229 0.771
Li1 0.125 0.125 0.625
Li2 0.625 0.125 0.125
Li3 0.125 0.125 0.125
Hg3 0.771 0.771 0.229
Hg4 0.479 0.479 0.021
Hg5 0.021 0.021 0.479
Ba1 0.750 0.750 0.750
Hg6 0.229 0.771 0.229
Hg7 0.771 0.229 0.229
Hg8 0.229 0.771 0.771
Hg9 0.771 0.229 0.771
Ba2 0.500 0.500 0.500
Li4 0.125 0.625 0.125
Hg10 0.479 0.021 0.021
Hg11 0.021 0.479 0.479
Hg12 0.021 0.479 0.021

Calculated values
symmetry = Fd-3m, No. 227
crystal system = cubic
formation energy = -1.2 eV/f.u.
VASP energy = -0.98 eV/atom

KBe2Re after structural relaxation. Source: Alexandria via LeMat-Bulk, functional GGA-PBE.

Lattice parameters (Å, degrees): 3.070 3.070 7.119 90.00 90.00 90.00
Fractional positions:
Be1 0.000 0.000 0.609
Re1 0.500 0.500 0.750
K1 0.500 0.500 0.250
Be2 0.000 0.000 0.891

Calculated values
symmetry = P4/mmm, No. 123
ΔE to the lowest computed polymorph = 0 meV per atom
crystal system = tetragonal
formation energy = 1.8 eV/f.u.
VASP energy = -4.79 eV/atom

CePrYSc after structural relaxation. Source: Alexandria via LeMat-Bulk, functional GGA-PBE.

Lattice parameters (Å, degrees): 5.600 5.600 5.600 60.00 60.00 60.00
Site moments in Bohr magnetons follow the coordinates.
Fractional positions:
Pr1 0.000 0.000 0.000  -0.02
Sc1 0.250 0.250 0.250  -0.01
Ce1 0.500 0.500 0.500  0.56
Y1 0.750 0.750 0.750  0.00

Calculated values
symmetry = F-43m, No. 216
crystal system = cubic
formation energy = 0.6 eV/f.u.
VASP energy = -5.73 eV/atom

Ho2Th3Fe2 after structural relaxation. Source: Alexandria via LeMat-Bulk, functional GGA-PBE.

Lattice parameters (Å, degrees): 3.858 9.277 6.191 61.44 71.82 89.96
Fractional positions:
Th1 0.000 0.000 0.000
Th2 0.166 0.751 0.667
Fe1 0.640 0.919 0.719
Ho1 0.608 0.394 0.785
Ho2 0.392 0.606 0.215
Th3 0.834 0.249 0.333
Fe2 0.360 0.081 0.281

Calculated values
symmetry = P-1, No. 2
crystal system = triclinic
formation energy = 0.2 eV/f.u.
VASP energy = -6.88 eV/atom

Tc2IrOs2 after structural relaxation. Source: Alexandria via LeMat-Bulk, functional GGA-PBE.

Lattice parameters (Å, degrees): 7.368 7.368 2.792 90.00 90.00 90.00
Fractional positions:
Ir1 0.000 0.000 0.000
Tc1 0.671 0.829 0.500
Os1 0.125 0.375 0.000
Tc2 0.829 0.329 0.500
Ir2 0.500 0.500 0.000
Os2 0.875 0.625 0.000
Tc3 0.329 0.171 0.500
Tc4 0.171 0.671 0.500
Os3 0.625 0.125 0.000
Os4 0.375 0.875 0.000

Calculated values
symmetry = P4/mbm, No. 127
ΔE to the lowest computed polymorph = 252 meV per atom
crystal system = tetragonal
formation energy = 1.2 eV/f.u.
VASP energy = -10.17 eV/atom